Entry 1:
A relaxed BaBMoRu2 crystal, computed with PBE.

Values from the calculation:
As for the formation energy: 3.414 eV per formula unit. The electronic total energy is -6.914 eV per atom. The calculation puts the total magnetic moment at 2.0 μB per formula unit.

Cell lengths 4.3918, 4.3918, 4.4505 Å; angles 90.00, 90.00, 90.00 degrees
With the nearest neighbours (Å) after each atom.
Space group P4/mmm (No. 123)
Inequivalent atoms, fractional coordinates:
Ba (0.0000, 0.0000, 0.0000) x1  4 Mo 3.11, 8 Ru 3.13
B (0.5000, 0.5000, 0.5000) x1  4 Ru 2.20, 2 Mo 2.23
Mo (0.5000, 0.5000, 0.0000) x1  2 B 2.23
Ru (0.0000, 0.5000, 0.5000) x2  2 B 2.20


Entry 2:
A relaxed Ba2TiBMo crystal, computed with PBE.

Values from the calculation:
As for the formation energy: 8.233 eV per formula unit. The electronic total energy is -4.203 eV per atom. The calculation puts the total magnetic moment at 0.5 μB per formula unit.

Cell lengths 6.2645, 6.2645, 4.4699 Å; angles 90.00, 90.00, 90.00 degrees
With the nearest neighbours (Å) after each atom.
Space group P4/mmm (No. 123)
Inequivalent atoms, fractional coordinates:
Ba (0.0000, 0.5000, 0.0000) x2  2 Ti 3.13
Ti (0.0000, 0.0000, 0.0000) x1  2 Mo 2.23
B (0.5000, 0.5000, 0.5000) x1  8 Ba 3.85
Mo (0.0000, 0.0000, 0.5000) x1  2 Ti 2.23


Entry 3:
A relaxed BaB3N3 crystal, computed with PBE.

Values from the calculation:
The electronic total energy is -6.328 eV per atom. The calculation puts the total magnetic moment at 0.0 μB per formula unit. The calculation puts the uncorrected formation energy at 376 meV/atom.

Cell lengths 4.9941, 4.9941, 4.9941 Å; angles 90.00, 90.00, 90.00 degrees
With the nearest neighbours (Å) after each atom.
Space group Pm-3n (No. 223)
Inequivalent atoms, fractional coordinates:
Ba (0.0000, 0.0000, 0.0000) x2  12 B 2.79, 12 N 2.79
B (0.0000, 0.2500, 0.5000) x6  4 N 1.77
N (0.0000, 0.5000, 0.2500) x6  4 B 1.77


Entry 4:
A relaxed Ba2BN crystal, computed with PBE.

Values from the calculation:
The value obtained for the energy above the most stable polymorph in this dataset is 124 meV/atom. The electronic total energy is -3.907 eV per atom. The calculation puts the total magnetic moment at 1.8 μB per formula unit. The calculation puts the uncorrected formation energy at 805 meV/atom.

Cell lengths 7.2077, 7.2077, 7.2077 Å; angles 90.00, 90.00, 90.00 degrees
With the nearest neighbours (Å) after each atom.
Space group Fm-3m (No. 225)
Inequivalent atoms, fractional coordinates:
Ba (0.2500, 0.2500, 0.2500) x8  4 B 3.12, 4 N 3.12
B (0.0000, 0.0000, 0.0000) x4  8 Ba 3.12
N (0.0000, 0.0000, 0.5000) x4  8 Ba 3.12


Entry 5:
A relaxed BaB2N crystal, computed with PBE.

Values from the calculation:
The electronic total energy is -5.047 eV per atom. The calculation puts the total magnetic moment at 0.0 μB per formula unit. The calculation puts the uncorrected formation energy at 853 meV/atom.

Cell lengths 3.9350, 3.9350, 14.3243 Å; angles 90.00, 90.00, 90.00 degrees
With the nearest neighbours (Å) after each atom.
Space group I4_1/amd (No. 141, origin choice 2)
Inequivalent atoms, fractional coordinates:
Ba (0.0000, 0.2500, 0.3750) x4  4 N 2.78, 8 B 2.84
B (0.0000, 0.0000, 0.0000) x8  2 B 1.97, 2 N 2.04
N (0.0000, 0.2500, 0.8750) x4  4 B 2.04


Entry 6:
A relaxed Ba3BN crystal, computed with PBE.

Values from the calculation:
The value obtained for the energy above the most stable polymorph in this dataset is 0 meV/atom. The electronic total energy is -3.733 eV per atom. The calculation puts the total magnetic moment at 2.0 μB per formula unit. The calculation puts the uncorrected formation energy at 422 meV/atom.

Cell lengths 5.4781, 5.4781, 5.4781 Å; angles 90.00, 90.00, 90.00 degrees
With the nearest neighbours (Å) after each atom.
Space group Pm-3m (No. 221)
Inequivalent atoms, fractional coordinates:
Ba (0.0000, 0.0000, 0.5000) x3  2 N 2.74
B (0.5000, 0.5000, 0.5000) x1  12 Ba 3.87
N (0.0000, 0.0000, 0.0000) x1  6 Ba 2.74


Entry 7:
A relaxed Ba5BN6 crystal, computed with PBE.

Values from the calculation:
The electronic total energy is -5.482 eV per atom. The calculation puts the total magnetic moment at 1.1 μB per formula unit. The calculation puts the uncorrected formation energy at 39 meV/atom.

Cell lengths 6.6454, 12.6464, 6.4947 Å; angles 90.00, 90.01, 90.00 degrees
With the nearest neighbours (Å) after each atom.
Space group C2/m (No. 12)
Inequivalent atoms, fractional coordinates:
Ba (0.0000, 0.0000, 0.0000) x2  4 N 2.86
Ba (0.0000, 0.1689, 0.5000) x4  2 N 2.22
Ba (0.0000, 0.3438, 0.0000) x4  4 N 2.57-2.76
B (0.0000, 0.5000, 0.5000) x2  2 N 1.37
N (0.1484, 0.5000, 0.6473) x4  1 B 1.37
N (0.1731, 0.1768, 0.7918) x8  1 Ba 2.22


Entry 8:
A relaxed Ba2BN crystal, computed with PBE.

Values from the calculation:
The value obtained for the energy above the most stable polymorph in this dataset is 0 meV/atom. The electronic total energy is -4.031 eV per atom. The calculation puts the total magnetic moment at 1.3 μB per formula unit. The calculation puts the uncorrected formation energy at 681 meV/atom.

Cell lengths 7.4046, 7.4046, 8.7089 Å; angles 90.00, 90.00, 90.00 degrees
With the nearest neighbours (Å) after each atom.
Space group I-42d (No. 122)
Inequivalent atoms, fractional coordinates:
Ba (0.1977, 0.2500, 0.1250) x8  2 N 2.60
B (0.0000, 0.0000, 0.5000) x4  4 Ba 3.10
N (0.0000, 0.0000, 0.0000) x4  4 Ba 2.60


Entry 9:
A relaxed BaNaBN2 crystal, computed with PBE.

Values from the calculation:
The electronic total energy is -6.059 eV per atom. The calculation puts the total magnetic moment at 0.0 μB per formula unit. The calculation puts the uncorrected formation energy at -745 meV/atom.

Cell lengths 5.8256, 4.2515, 7.1093 Å; angles 90.00, 103.21, 90.00 degrees
With the nearest neighbours (Å) after each atom.
Space group P2/c (No. 13)
Inequivalent atoms, fractional coordinates:
Ba (0.0000, 0.2304, 0.2500) x2  4 N 2.72-2.86
Na (0.5000, 0.4482, 0.7500) x2  4 N 2.53-2.56, 2 B 2.61
B (0.5000, 0.0000, 0.0000) x2  2 N 1.36
N (0.2994, 0.1712, 0.9837) x4  1 B 1.36


Entry 10:
A relaxed Ba4Nd7Si12BN27 crystal, computed with PBE.

Values from the calculation:
The electronic total energy is -7.859 eV per atom. The calculation puts the total magnetic moment at 0.0 μB per formula unit. The calculation puts the uncorrected formation energy at -1239 meV/atom.

Cell lengths 12.3459, 12.3459, 5.4654 Å; angles 90.00, 90.00, 120.00 degrees
With the nearest neighbours (Å) after each atom.
Space group P-6 (No. 174)
Inequivalent atoms, fractional coordinates:
Ba (0.0000, 0.0000, 0.0000) x1  12 N 3.19-3.24, 6 Si 3.28
Ba (0.1787, 0.7644, 0.0000) x3  8 N 2.92-3.16
Nd (0.3438, 0.0420, 0.5000) x3  4 N 2.34-2.57
Nd (0.4477, 0.3600, 0.5000) x3  6 N 2.46-2.60
Nd (0.6667, 0.3333, 0.0000) x1  3 N 2.44
Si (0.1596, 0.1311, 0.5000) x3  4 N 1.71-1.77
Si (0.1729, 0.5720, 0.5000) x3  4 N 1.71-1.74
Si (0.3458, 0.2076, 0.0000) x3  4 N 1.72-1.79
Si (0.4776, 0.0227, 0.0000) x3  4 N 1.71-1.77
B (0.6667, 0.3333, 0.5000) x1  3 N 1.47
N (0.0284, 0.1452, 0.5000) x3  2 Si 1.71-1.77
N (0.0677, 0.5078, 0.2583) x6  2 Si 1.71-1.74
N (0.2400, 0.7313, 0.5000) x3  2 Si 1.71
N (0.2605, 0.2014, 0.2549) x6  2 Si 1.72-1.74
N (0.3838, 0.0903, 0.0000) x3  2 Si 1.73
N (0.4832, 0.3585, 0.0000) x3  2 Si 1.77-1.79
N (0.5399, 0.2237, 0.5000) x3  1 B 1.47


Entry 11:
A relaxed BaBN2O crystal, computed with PBE.

Values from the calculation:
The electronic total energy is -5.820 eV per atom. The calculation puts the total magnetic moment at 0.0 μB per formula unit. The calculation puts the uncorrected formation energy at 222 meV/atom.

Cell lengths 3.3731, 3.3731, 5.6666 Å; angles 90.00, 90.00, 90.00 degrees
With the nearest neighbours (Å) after each atom.
Space group P4/mmm (No. 123)
Inequivalent atoms, fractional coordinates:
Ba (0.0000, 0.0000, 0.0000) x1  4 O 2.39
B (0.5000, 0.5000, 0.5000) x1  4 N 1.69
N (0.0000, 0.5000, 0.5000) x2  2 B 1.69
O (0.5000, 0.5000, 0.0000) x1  4 Ba 2.39


Entry 12:
A relaxed BaBN2O crystal, computed with PBE.

Values from the calculation:
The electronic total energy is -3.745 eV per atom. The calculation puts the total magnetic moment at 5.0 μB per formula unit. The calculation puts the uncorrected formation energy at 2297 meV/atom.

Cell lengths 5.3912, 5.3912, 4.8330 Å; angles 90.00, 90.00, 90.00 degrees
With the nearest neighbours (Å) after each atom.
Space group P4/mmm (No. 123)
Inequivalent atoms, fractional coordinates:
Ba (0.0000, 0.0000, 0.0000) x1  2 O 2.42, 4 N 2.70
B (0.5000, 0.5000, 0.5000) x1  8 N 3.62, 4 O 3.81
N (0.0000, 0.5000, 0.0000) x2  2 Ba 2.70
O (0.0000, 0.0000, 0.5000) x1  2 Ba 2.42


Entry 13:
A relaxed Ba2BPN crystal, computed with PBE.

Values from the calculation:
The electronic total energy is -5.551 eV per atom. The calculation puts the total magnetic moment at 0.0 μB per formula unit. The calculation puts the uncorrected formation energy at -700 meV/atom.

Cell lengths 6.7008, 3.7389, 9.4475 Å; angles 90.00, 110.19, 90.00 degrees
With the nearest neighbours (Å) after each atom.
Space group P2_1/m (No. 11)
Inequivalent atoms, fractional coordinates:
Ba (0.2172, 0.2500, 0.3998) x2  2 N 2.81, 2 B 3.08
Ba (0.2238, 0.2500, 0.9597) x2  3 N 2.74-2.80
B (0.4323, 0.7500, 0.2373) x2  1 N 1.40
P (0.3831, 0.7500, 0.7164) x2  2 B 2.20
N (0.2093, 0.7500, 0.1765) x2  1 B 1.40


Entry 14:
A relaxed BaB2PN4 crystal, computed with PBE.

Values from the calculation:
The electronic total energy is -6.293 eV per atom. The calculation puts the total magnetic moment at 0.9 μB per formula unit. The calculation puts the uncorrected formation energy at 455 meV/atom.

Cell lengths 4.7711, 4.7711, 7.4637 Å; angles 90.00, 90.00, 90.00 degrees
With the nearest neighbours (Å) after each atom.
Space group I-42m (No. 121)
Inequivalent atoms, fractional coordinates:
Ba (0.0000, 0.0000, 0.0000) x2  4 N 2.43
B (0.0000, 0.5000, 0.2500) x4  4 N 1.88
P (0.0000, 0.0000, 0.5000) x2  4 N 1.71
N (0.1845, 0.1845, 0.6571) x8  1 P 1.71, 2 B 1.88


Entry 15:
A relaxed BaPa2B2N6 crystal, computed with PBE.

Values from the calculation:
The electronic total energy is -8.835 eV per atom. The calculation puts the total magnetic moment at 0.0 μB per formula unit. The calculation puts the uncorrected formation energy at -1178 meV/atom.

Cell lengths 5.6260, 5.7896, 6.2884 Å; angles 97.33, 113.77, 110.96 degrees
With the nearest neighbours (Å) after each atom.
Space group P-1 (No. 2)
Inequivalent atoms, fractional coordinates:
Ba (0.0000, 0.0000, 0.0000) x1  4 N 2.77-2.78
Pa (0.3634, 0.3000, 0.6739) x2  6 N 2.23-2.43
B (0.2997, 0.7431, 0.7134) x2  3 N 1.46-1.48
N (0.1084, 0.8641, 0.6203) x2  1 B 1.46
N (0.3457, 0.6430, 0.9245) x2  1 B 1.48
N (0.4609, 0.7046, 0.5866) x2  1 B 1.48


Entry 16:
A relaxed BaBPdN2 crystal, computed with PBE.

Values from the calculation:
The electronic total energy is -5.076 eV per atom. The calculation puts the total magnetic moment at 1.4 μB per formula unit. The calculation puts the uncorrected formation energy at 1013 meV/atom.

Cell lengths 4.1056, 4.1056, 4.2518 Å; angles 90.00, 90.00, 90.00 degrees
With the nearest neighbours (Å) after each atom.
Space group P4/mmm (No. 123)
Inequivalent atoms, fractional coordinates:
Ba (0.0000, 0.0000, 0.0000) x1  4 Pd 2.90, 8 N 2.96
B (0.5000, 0.5000, 0.5000) x1  4 N 2.05, 2 Pd 2.13
Pd (0.5000, 0.5000, 0.0000) x1  2 B 2.13
N (0.0000, 0.5000, 0.5000) x2  2 B 2.05


Entry 17:
A relaxed BaPmBN2 crystal, computed with PBE.

Values from the calculation:
The electronic total energy is -6.859 eV per atom. The calculation puts the total magnetic moment at 0.0 μB per formula unit. The calculation puts the uncorrected formation energy at -859 meV/atom.

Cell lengths 7.2912, 4.9612, 5.8621 Å; angles 90.00, 90.00, 90.00 degrees
With the nearest neighbours (Å) after each atom.
Space group Pmma (No. 51)
Inequivalent atoms, fractional coordinates:
Ba (0.2500, 0.0000, 0.1299) x2  4 N 2.98, 4 B 3.17
Pm (0.2500, 0.5000, 0.5673) x2  4 N 2.42-2.53
B (0.0000, 0.5000, 0.0000) x2  2 N 1.35
N (0.0372, 0.5000, 0.2261) x4  1 B 1.35


Entry 18:
A relaxed Ba4Pr7Si12BN27 crystal, computed with PBE.

Values from the calculation:
The electronic total energy is -7.846 eV per atom. The calculation puts the total magnetic moment at 0.0 μB per formula unit. The calculation puts the uncorrected formation energy at -1225 meV/atom.

Cell lengths 12.3917, 12.3917, 5.4751 Å; angles 90.00, 90.00, 120.00 degrees
With the nearest neighbours (Å) after each atom.
Space group P-6 (No. 174)
Inequivalent atoms, fractional coordinates:
Ba (0.0000, 0.0000, 0.0000) x1  12 N 3.19-3.23, 6 Si 3.29
Ba (0.4157, 0.1785, 0.0000) x3  8 N 2.92-3.15
Pr (0.0420, 0.6990, 0.5000) x3  4 N 2.36-2.58
Pr (0.0866, 0.4470, 0.5000) x3  8 N 2.48-2.77
Pr (0.3333, 0.6667, 0.0000) x1  3 N 2.47, 2 B 2.74
Si (0.0218, 0.5449, 0.0000) x3  4 N 1.72-1.77
Si (0.0289, 0.1591, 0.5000) x3  4 N 1.71-1.76
Si (0.1380, 0.3454, 0.0000) x3  4 N 1.73-1.79
Si (0.5712, 0.3978, 0.5000) x3  4 N 1.71-1.74
B (0.3333, 0.6667, 0.5000) x1  3 N 1.47
N (0.0599, 0.2595, 0.2545) x6  2 Si 1.73-1.74
N (0.0923, 0.7062, 0.0000) x3  2 Si 1.73-1.74
N (0.1220, 0.4812, 0.0000) x3  2 Si 1.77-1.79
N (0.1446, 0.1158, 0.5000) x3  2 Si 1.71-1.76
N (0.2242, 0.6839, 0.5000) x3  1 B 1.47
N (0.5072, 0.4379, 0.2571) x6  2 Si 1.72-1.74
N (0.5094, 0.2394, 0.5000) x3  2 Si 1.71


Entry 19:
A relaxed Ba3PuB2N6 crystal, computed with PBE.

Values from the calculation:
The electronic total energy is -7.786 eV per atom. The calculation puts the total magnetic moment at 2.1 μB per formula unit. The calculation puts the uncorrected formation energy at -836 meV/atom.

Cell lengths 5.7540, 5.7540, 6.9890 Å; angles 90.00, 90.00, 120.00 degrees
With the nearest neighbours (Å) after each atom.
Space group P-3m1 (No. 164)
Inequivalent atoms, fractional coordinates:
Ba (0.0000, 0.0000, 0.0000) x1  6 N 2.85
Ba (0.3333, 0.6667, 0.7010) x2  1 B 2.81, 9 N 2.88-3.10
Pu (0.0000, 0.0000, 0.5000) x1  6 N 2.26
B (0.3333, 0.6667, 0.2983) x2  3 N 1.49
N (0.1843, 0.3685, 0.3113) x6  1 B 1.49


Entry 20:
A relaxed BaPuBN3 crystal, computed with PBE.

Values from the calculation:
The electronic total energy is -8.942 eV per atom. The calculation puts the total magnetic moment at 4.0 μB per formula unit. The calculation puts the uncorrected formation energy at -957 meV/atom.

Cell lengths 5.7307, 5.7307, 6.2078 Å; angles 90.00, 90.00, 120.00 degrees
With the nearest neighbours (Å) after each atom.
Space group P6_3/mmc (No. 194)
Inequivalent atoms, fractional coordinates:
Ba (0.3333, 0.6667, 0.2500) x2  6 N 2.87, 2 B 3.10
Pu (0.0000, 0.0000, 0.0000) x2  6 N 2.39
B (0.3333, 0.6667, 0.7500) x2  3 N 1.50
N (0.1827, 0.3654, 0.7500) x6  1 B 1.50